VASP calculation (PBE-GGA) on a geometry-optimized TbMnFeP2 structure.

Summary:
Its density of states at the Fermi level is 6.5 states/eV/cell. The calculation puts the formation energy at -973 meV per atom. The value obtained for the volume is 14.217 Å³/atom. The total magnetic moment comes out at 0.0 μB/f.u.

```
data_TbMnFeP2
_chemical_formula_sum 'Tb2 Mn2 Fe2 P4'
_cell_length_a 3.8732
_cell_length_b 3.8732
_cell_length_c 9.4771
_cell_angle_alpha 90.00
_cell_angle_beta 90.00
_cell_angle_gamma 90.00
_symmetry_space_group_name_H-M 'I -4 m 2'
_symmetry_Int_Tables_number 119
_symmetry_space_group_name_Hall 'I -4 -2'
loop_
_atom_site_label
_atom_site_type_symbol
_atom_site_fract_x
_atom_site_fract_y
_atom_site_fract_z
_atom_site_occupancy
Tb1 Tb 0.0000 0.0000 0.0000 1
Mn1 Mn 0.0000 0.5000 0.7500 1
Fe1 Fe 0.0000 0.5000 0.2500 1
P1 P 0.0000 0.0000 0.3639 1
```